No. 1
VASP calculation (meta-GGA SCAN) on Cs3InP at its PBEsol-relaxed geometry.

```
Cs3InP
1.0
6.888 0.000 0.000
0.000 6.888 0.000
0.000 0.000 6.888
Cs In P
3 1 1
direct
0.000 0.000 0.500
0.000 0.500 0.000
0.500 0.000 0.000
0.000 0.000 0.000
0.500 0.500 0.500
```

## Properties
Raw total energy: -30.938 eV/atom
SG: Pm-3m
Energy of formation: 506 meV per atom
D(E_F): 1.424 states/eV per atom
Volume: 65.4 A^3/atom
Total moment: 0.375 μB per atom

---

No. 2
VASP calculation (meta-GGA SCAN) on CsIn2P2 at its PBEsol-relaxed geometry.

```
CsIn2P2
1.0
4.608 0.000 0.000
0.000 4.608 0.000
0.000 0.000 13.742
Cs In P
2 4 4
direct
0.000 0.000 0.000
0.500 0.500 0.500
0.000 0.500 0.250
0.000 0.500 0.750
0.500 0.000 0.250
0.500 0.000 0.750
0.000 0.000 0.350
0.000 0.000 0.650
0.500 0.500 0.150
0.500 0.500 0.850
```

## Properties
Raw total energy: -25.367 eV/atom
SG: I4/mmm
Energy of formation: -291 meV per atom
D(E_F): 0.150 states/eV per atom
Volume: 29.2 A^3/atom
Total moment: 0.000 μB per atom